No. 1
# In2RuPt

A geometry-optimized In2RuPt structure (GGA-PBE, the Alexandria database).

## Properties
The uncorrected energy comes out at -5.163 eV/atom. The energy of formation is 3 kJ/mol of atoms.

Unit cell a=3.5640 b=3.5640 c=5.7835 alpha=90.00 beta=90.00 gamma=90.00
Closest atoms and distances in Å follow each position.
Space group P4mm (No. 99)
Asymmetric unit:
In 0.0000 0.0000 0.0000 x1  4 Ru 2.73, 2 Pt 2.82-2.97
In 0.5000 0.5000 0.3210 x1  4 Pt 2.75, 2 Ru 2.87-2.92
Ru 0.5000 0.5000 0.8170 x1  6 In 2.73-2.92
Pt 0.0000 0.0000 0.5132 x1  6 In 2.75-2.97, 4 Ru 3.07

No. 2
# AgHgRh2

A geometry-optimized AgHgRh2 structure (GGA-PBE, the Alexandria database).

## Properties
The uncorrected energy comes out at -4.301 eV/atom. The energy of formation is 16 kJ/mol of atoms.

Unit cell a=2.8745 b=2.8745 c=8.1337 alpha=90.00 beta=90.00 gamma=90.00
Closest atoms and distances in Å follow each position.
Space group P4mm (No. 99)
Asymmetric unit:
Ag 0.0000 0.0000 0.0000 x1  4 Ag 2.87, 4 Rh 2.89, 4 Hg 3.06
Hg 0.5000 0.5000 0.2820 x1  4 Hg 2.87, 4 Rh 2.92, 4 Ag 3.06
Rh 0.0000 0.0000 0.5405 x1  8 Rh 2.64-2.87, 4 Hg 2.92
Rh 0.5000 0.5000 0.7483 x1  8 Rh 2.64-2.87, 4 Ag 2.89

No. 3
# TbSmPd2

A geometry-optimized TbSmPd2 structure (GGA-PBE, the Alexandria database).

## Properties
The uncorrected energy comes out at -5.760 eV/atom. The energy of formation is -80 kJ/mol of atoms. The value obtained for the energy above the lowest structure with this stoichiometry is 49 meV per atom.

Unit cell a=5.0811 b=5.0811 c=3.4708 alpha=90.00 beta=90.00 gamma=90.00
Closest atoms and distances in Å follow each position.
Space group P4/mmm (No. 123)
Asymmetric unit:
Tb 0.0000 0.0000 0.0000 x1  8 Pd 3.08
Sm 0.5000 0.5000 0.0000 x1  8 Pd 3.08
Pd 0.0000 0.5000 0.5000 x2  4 Sm 3.08, 4 Tb 3.08

No. 4
# AcPaF2

A geometry-optimized AcPaF2 structure (GGA-PBE, the Alexandria database).

## Properties
The uncorrected energy comes out at -6.147 eV/atom. The value obtained for the uncorrected formation energy is -174.6 kJ per mole of atoms.

Unit cell a=3.4334 b=3.4334 c=25.7136 alpha=90.00 beta=90.00 gamma=120.00
Closest atoms and distances in Å follow each position.
Space group R-3m (No. 166, hexagonal axes)
Asymmetric unit:
Ac 0.0000 0.0000 0.0000 x3  2 F 2.66
Pa 0.0000 0.0000 0.5000 x3  6 F 2.57
F 0.0000 0.0000 0.1033 x6  3 Pa 2.57, 1 Ac 2.66

No. 5
# Ac2Pm4Nd3

A geometry-optimized Ac2Pm4Nd3 structure (GGA-PBE, the Alexandria database).

## Properties
The uncorrected energy comes out at -4.536 eV/atom. The energy of formation is 7 kJ/mol of atoms. The value obtained for the energy above the lowest structure with this stoichiometry is 0 meV per atom.

Unit cell a=3.7492 b=3.7492 c=27.7314 alpha=90.00 beta=90.00 gamma=120.00
Closest atoms and distances in Å follow each position.
Space group P3m1 (No. 156)
Asymmetric unit:
Ac 0.0000 0.0000 0.0000 x1  6 Ac 3.75, 3 Pm 3.81, 3 Nd 3.87
Ac 0.0000 0.0000 0.2273 x1  1 Pm 3.60, 6 Ac 3.75, 3 Nd 3.78
Pm 0.0000 0.0000 0.3572 x1  3 Nd 3.58, 1 Ac 3.60, 6 Pm 3.75
Pm 0.0000 0.0000 0.5696 x1  9 Pm 3.60-3.75, 3 Nd 3.73
Pm 0.3333 0.6667 0.6735 x1  9 Pm 3.60-3.75, 3 Nd 3.69
Pm 0.3333 0.6667 0.8870 x1  3 Nd 3.64, 6 Pm 3.75, 3 Ac 3.81
Nd 0.0000 0.0000 0.7813 x1  6 Pm 3.64-3.69, 6 Nd 3.75
Nd 0.3333 0.6667 0.1157 x1  6 Nd 3.75, 6 Ac 3.78-3.87
Nd 0.3333 0.6667 0.4603 x1  6 Pm 3.58-3.73, 6 Nd 3.75

No. 6
# SbHPd4

A geometry-optimized SbHPd4 structure (GGA-PBE, the Alexandria database).

## Properties
The uncorrected energy comes out at -4.922 eV/atom. The value obtained for the energy above the lowest structure with this stoichiometry is 48 meV per atom.

Unit cell a=8.0188 b=11.5058 c=5.3672 alpha=90.00 beta=131.87 gamma=90.00
Closest atoms and distances in Å follow each position.
Space group C2/c (No. 15)
Asymmetric unit:
Sb 0.0000 0.1088 0.2500 x4  8 Pd 2.65-2.67
H 0.0000 0.3514 0.7500 x4  4 Pd 1.82-1.90
Pd 0.1679 0.2889 0.1663 x8  1 H 1.82
Pd 0.2021 0.4554 0.7915 x8  1 H 1.90

> What is the formula in the sixth record?

SbHPd4